This record from Alexandria describes an optimized crystal structure of Pm3Dy2Er2. The functional is GGA-PBE.

```
Pm3Dy2Er2
1.0
3.5171 -0.4476 0.4747
-0.6133 11.6539 2.0660
1.1665 1.1785 5.9688
Dy Er Pm
2 2 3
direct
0.8563 0.1417 0.4289 Dy
0.1437 0.8583 0.5711 Dy
0.2875 0.7156 0.1398 Er
0.7125 0.2844 0.8602 Er
0.5715 0.4284 0.2867 Pm
0.4285 0.5716 0.7133 Pm
0.0000 0.0000 0.0000 Pm
```

## Properties
- Crystal system: monoclinic
- Mass density: 8.0 Mg/m³
- ΔH_f (0 K): 16 meV per atom
- Total DFT energy (no corrections): -4.6384 eV per atom